No. 1
# Sr2IrPdC

Crystalline Sr2IrPdC at its relaxed geometry (PBE, Alexandria via LeMat-Bulk).

a = 5.4730 Å, b = 5.4730 Å, c = 3.8506 Å
α = 90.00°, β = 90.00°, γ = 90.00°
Sites, in units of the cell vectors:
Sr 0.0000 0.5000 0.0000
Sr 0.5000 0.0000 0.0000
Ir 0.0000 0.0000 0.5000
Pd 0.5000 0.5000 0.5000
C 0.0000 0.0000 0.0000

Values from the calculation:
Its space group is P4/mmm. The calculation puts the calculated volume at 23.1 Å³ per atom. For the energy, the calculation gives -27.72 eV/cell.

---

No. 2
# Pm2Sm4Er5

Crystalline Pm2Sm4Er5 at its relaxed geometry (PBE, Alexandria via LeMat-Bulk).

a = 6.6933 Å, b = 6.6933 Å, c = 9.2212 Å
α = 104.30°, β = 104.30°, γ = 67.40°
Sites, in units of the cell vectors:
Pm 0.1444 0.1444 0.1262
Pm 0.8556 0.8556 0.8738
Sm 0.3203 0.3203 0.5021
Sm 0.3251 0.3251 0.8747
Sm 0.6749 0.6749 0.1253
Sm 0.6797 0.6797 0.4979
Er 0.0000 0.0000 0.5000
Er 0.2125 0.6516 0.2190
Er 0.3484 0.7875 0.7810
Er 0.6516 0.2125 0.2190
Er 0.7875 0.3484 0.7810

Values from the calculation:
Its excess energy over the best structure of this formula in the dataset is 0.1010 eV/atom. Its space group is C2/m. The calculation puts the calculated volume at 33.1 Å³ per atom.

---

No. 3
# TeAs2Rh

Crystalline TeAs2Rh at its relaxed geometry (PBE, Alexandria via LeMat-Bulk).

a = 4.7545 Å, b = 4.7545 Å, c = 4.7545 Å
α = 60.00°, β = 60.00°, γ = 60.00°
Sites, in units of the cell vectors:
Te 0.0000 0.0000 0.0000
As 0.5000 0.5000 0.5000
As 0.7500 0.7500 0.7500
Rh 0.2500 0.2500 0.2500

Values from the calculation:
Its space group is F-43m. The uncorrected formation energy comes out at 295 meV per atom. The calculation puts the calculated volume at 19.0 Å³ per atom.